Record 1
{"formula": "RbLiInF6", "functional": "GGA-PBE", "state": "relaxed", "cell": [[-3.539, 3.896, 5.404], [3.539, -3.896, 5.404], [3.539, 3.896, -5.404]], "species": ["Rb", "Rb", "Li", "Li", "In", "In", "F", "F", "F", "F", "F", "F", "F", "F", "F", "F", "F", "F"], "fractional_positions": [[0.362, 0.112, 0.250], [0.638, 0.888, 0.750], [0.000, 0.000, 0.500], [0.000, 0.500, 0.000], [0.000, 0.500, 0.500], [0.500, 0.500, 0.000], [0.065, 0.413, 0.229], [0.065, 0.837, 0.652], [0.094, 0.844, 0.250], [0.315, 0.163, 0.729], [0.315, 0.587, 0.152], [0.335, 0.585, 0.750], [0.665, 0.415, 0.250], [0.685, 0.413, 0.848], [0.685, 0.837, 0.271], [0.906, 0.156, 0.750], [0.935, 0.163, 0.348], [0.935, 0.587, 0.771]], "space_group": "Imma", "total_energy_ev_per_atom": -4.23, "e_form_raw_ev_per_atom": -2.354, "vol_a3_per_cell": 298.1}

Record 2
{"formula": "BaNa3Ir", "functional": "GGA-PBE", "state": "relaxed", "cell": [[5.537, 0.000, 0.000], [0.000, 5.537, 0.000], [0.000, 0.000, 5.537]], "species": ["Ba", "Na", "Na", "Na", "Ir"], "fractional_positions": [[0.000, 0.000, 0.000], [0.000, 0.500, 0.500], [0.500, 0.000, 0.500], [0.500, 0.500, 0.000], [0.500, 0.500, 0.500]], "de_polymorph_mev_per_atom": 0.0, "space_group": "Pm-3m", "total_energy_ev_per_atom": -2.46, "formation_enthalpy_0k_ev_per_atom": 0.49, "vol_a3_per_cell": 169.8}

Record 3
{"formula": "AcPrEuDy", "functional": "GGA-PBE", "state": "relaxed", "cell": [[0.000, 4.243, 4.243], [4.243, 0.000, 4.243], [4.243, 4.243, 0.000]], "species": ["Ac", "Pr", "Eu", "Dy"], "fractional_positions": [[0.000, 0.000, 0.000], [0.500, 0.500, 0.500], [0.250, 0.250, 0.250], [0.750, 0.750, 0.750]], "space_group": "F-43m", "total_energy_ev_per_atom": -5.82, "formation_enthalpy_0k_ev_per_atom": 0.12, "vol_a3_per_cell": 152.8}

Record 4
{"formula": "Sc2H6Rh", "functional": "GGA-PBE", "state": "relaxed", "cell": [[-1.652, 2.230, 4.998], [1.652, -2.230, 4.998], [1.652, 2.230, -4.998]], "species": ["Sc", "Sc", "H", "H", "H", "H", "H", "H", "Rh"], "fractional_positions": [[0.161, 0.161, 0.000], [0.839, 0.839, 0.000], [0.088, 0.332, 0.757], [0.297, 0.000, 0.297], [0.425, 0.668, 0.757], [0.575, 0.332, 0.243], [0.703, 0.000, 0.703], [0.912, 0.668, 0.243], [0.500, 0.500, 0.000]], "space_group": "Immm", "total_energy_ev_per_atom": -4.88, "vol_a3_per_cell": 73.6}

Record 5
{"formula": "ZnBIr3", "functional": "GGA-PBE", "state": "relaxed", "cell": [[4.101, 0.000, 0.000], [0.000, 4.101, 0.000], [0.000, 0.000, 4.101]], "species": ["Zn", "B", "Ir", "Ir", "Ir"], "fractional_positions": [[0.000, 0.000, 0.000], [0.500, 0.500, 0.500], [0.000, 0.500, 0.500], [0.500, 0.000, 0.500], [0.500, 0.500, 0.000]], "de_polymorph_mev_per_atom": 0.0, "space_group": "Pm-3m", "total_energy_ev_per_atom": -6.91, "formation_enthalpy_0k_ev_per_atom": 0.00, "vol_a3_per_cell": 69.0}

Record 6
{"formula": "CoSbPb2", "functional": "GGA-PBE", "state": "relaxed", "cell": [[3.073, -5.513, 0.000], [3.073, 5.513, 0.000], [-2.028, 0.000, 3.013]], "species": ["Co", "Sb", "Pb", "Pb"], "fractional_positions": [[0.000, 0.000, 0.000], [0.500, 0.500, 0.000], [0.000, 0.500, 0.500], [0.500, 0.000, 0.500]], "de_polymorph_mev_per_atom": 462.5, "space_group": "C2/m", "total_energy_ev_per_atom": -4.07, "e_form_raw_ev_per_atom": 0.593, "vol_a3_per_cell": 102.1}

Record 7
{"formula": "Nd8GeP3Cl4", "functional": "GGA-PBE", "state": "relaxed", "cell": [[4.169, 2.407, 6.982], [-4.169, 2.407, 6.982], [0.000, -4.813, 6.982]], "species": ["Nd", "Nd", "Nd", "Nd", "Nd", "Nd", "Nd", "Nd", "Ge", "P", "P", "P", "Cl", "Cl", "Cl", "Cl"], "fractional_positions": [[0.232, 0.743, 0.743], [0.238, 0.238, 0.238], [0.257, 0.257, 0.768], [0.257, 0.768, 0.257], [0.743, 0.232, 0.743], [0.743, 0.743, 0.232], [0.762, 0.762, 0.762], [0.768, 0.257, 0.257], [0.500, 0.500, 0.500], [0.000, 0.000, 0.500], [0.000, 0.500, 0.000], [0.500, 0.000, 0.000], [0.000, 0.000, 0.000], [0.000, 0.500, 0.500], [0.500, 0.000, 0.500], [0.500, 0.500, 0.000]], "space_group": "R-3m", "total_energy_ev_per_atom": -5.67, "e_form_raw_ev_per_atom": -1.522, "vol_a3_per_cell": 420.3}

Record 8
{"formula": "Tb3Pr2Zn2", "functional": "GGA-PBE", "state": "relaxed", "cell": [[1.834, -15.307, 0.000], [1.834, 15.307, 0.000], [0.000, 0.000, 3.576]], "species": ["Tb", "Tb", "Tb", "Pr", "Pr", "Zn", "Zn"], "fractional_positions": [[0.000, 0.000, 0.000], [0.418, 0.582, 0.500], [0.582, 0.418, 0.500], [0.301, 0.699, 0.500], [0.699, 0.301, 0.500], [0.136, 0.864, 0.000], [0.864, 0.136, 0.000]], "de_polymorph_mev_per_atom": 0.0, "space_group": "Cmmm", "total_energy_ev_per_atom": -3.84, "formation_enthalpy_0k_ev_per_atom": -0.13, "vol_a3_per_cell": 200.8}

Record 9
{"formula": "Sm4Tm5In2", "functional": "GGA-PBE", "state": "relaxed", "cell": [[2.609, 1.507, 15.512], [-2.609, 1.507, 15.512], [0.000, -3.013, 15.512]], "species": ["Sm", "Sm", "Sm", "Sm", "Tm", "Tm", "Tm", "Tm", "Tm", "In", "In"], "fractional_positions": [[0.073, 0.073, 0.073], [0.226, 0.226, 0.226], [0.774, 0.774, 0.774], [0.927, 0.927, 0.927], [0.000, 0.000, 0.000], [0.148, 0.148, 0.148], [0.303, 0.303, 0.303], [0.697, 0.697, 0.697], [0.852, 0.852, 0.852], [0.377, 0.377, 0.377], [0.623, 0.623, 0.623]], "space_group": "R-3m", "total_energy_ev_per_atom": -4.06, "formation_enthalpy_0k_ev_per_atom": 0.18, "vol_a3_per_cell": 365.9}

Record 10
{"formula": "Mg7Cd2Pb2", "functional": "GGA-PBE", "state": "relaxed", "cell": [[3.735, -4.347, 0.000], [3.735, 4.347, 0.000], [-1.553, 0.000, 8.267]], "species": ["Mg", "Mg", "Mg", "Mg", "Mg", "Mg", "Mg", "Cd", "Cd", "Pb", "Pb"], "fractional_positions": [[0.000, 0.000, 0.000], [0.083, 0.457, 0.812], [0.129, 0.129, 0.372], [0.457, 0.083, 0.812], [0.543, 0.917, 0.188], [0.871, 0.871, 0.628], [0.917, 0.543, 0.188], [0.384, 0.384, 0.129], [0.616, 0.616, 0.871], [0.311, 0.689, 0.500], [0.689, 0.311, 0.500]], "de_polymorph_mev_per_atom": 0.0, "space_group": "C2/m", "total_energy_ev_per_atom": -1.88, "formation_enthalpy_0k_ev_per_atom": -0.03, "vol_a3_per_cell": 268.4}

Record 11
{"formula": "Hf2HgBi", "functional": "GGA-PBE", "state": "relaxed", "cell": [[4.574, 0.000, 0.000], [0.000, 4.574, 0.000], [0.000, 0.000, 4.328]], "species": ["Hf", "Hf", "Hg", "Bi"], "fractional_positions": [[0.000, 0.500, 0.000], [0.500, 0.000, 0.000], [0.000, 0.000, 0.500], [0.500, 0.500, 0.500]], "de_polymorph_mev_per_atom": 0.0, "space_group": "P4/mmm", "total_energy_ev_per_atom": -6.00, "formation_enthalpy_0k_ev_per_atom": 0.02, "vol_a3_per_cell": 90.5}

Record 12
{"formula": "CaTaCu2", "functional": "GGA-PBE", "state": "relaxed", "cell": [[1.521, 0.878, 9.071], [-1.521, 0.878, 9.071], [0.000, -1.756, 9.071]], "species": ["Ca", "Ta", "Cu", "Cu"], "fractional_positions": [[0.000, 0.000, 0.000], [0.500, 0.500, 0.500], [0.244, 0.244, 0.244], [0.756, 0.756, 0.756]], "de_polymorph_mev_per_atom": 344.0, "space_group": "R-3m", "total_energy_ev_per_atom": -5.01, "formation_enthalpy_0k_ev_per_atom": 0.50, "vol_a3_per_cell": 72.7}